Record 1
First-principles (PBE-GGA) data for an optimized crystal structure of BaAcAg2Sb2, as listed in Alexandria.

- M_tot (μB per atom) = 0.000
- DOS at the Fermi energy (states/eV/f.u.) = 3.2
- VASP energy (hartree per atom) = -0.1498

Cell: 4.8303 4.8303 9.1995 Å, 90.00 90.00 120.00°
Closest atoms and distances in Å follow each position.
Space group P-3m1 (No. 164)
One atom of each set of equivalent atoms:
Ba  0.0000  0.0000  0.0000  6 Sb 3.65, 6 Ag 3.81
Ac  0.0000  0.0000  0.5000  6 Ag 3.44, 6 Sb 3.58
Ag  0.3333  0.6667  0.7185  3 Sb 2.80
Sb  0.3333  0.6667  0.2557  3 Ag 2.80

***

Record 2
First-principles (PBE-GGA) data for an optimized crystal structure of BaAcAgSb, as listed in Alexandria.

- M_tot (μB per atom) = 0.000
- DOS at the Fermi energy (states/eV/f.u.) = 4.4
- VASP energy (hartree per atom) = -0.1409

Cell: 8.1878 8.1878 8.1878 Å, 90.00 90.00 90.00°
Closest atoms and distances in Å follow each position.
Space group F-43m (No. 216)
One atom of each set of equivalent atoms:
Ba  0.0000  0.0000  0.0000  4 Ag 3.55, 4 Sb 3.55
Ac  0.0000  0.0000  0.5000  4 Sb 3.55, 4 Ag 3.55
Ag  0.2500  0.2500  0.7500  4 Ba 3.55, 4 Ac 3.55
Sb  0.2500  0.2500  0.2500  4 Ba 3.55, 4 Ac 3.55

***

Record 3
First-principles (PBE-GGA) data for an optimized crystal structure of BaAcAg2Se4, as listed in Alexandria.

- M_tot (μB per atom) = 0.000
- DOS at the Fermi energy (states/eV/f.u.) = 0.4
- VASP energy (hartree per atom) = -0.1595

Cell: 7.4651 7.4651 8.3547 Å, 90.00 90.00 90.00°
Closest atoms and distances in Å follow each position.
Space group I-42m (No. 121)
One atom of each set of equivalent atoms:
Ba  0.0000  0.0000  0.0000  8 Se 3.34-3.40
Ac  0.0000  0.0000  0.5000  8 Se 3.19-3.54
Ag  0.0000  0.5000  0.2500  4 Se 2.64
Se  0.2377  0.2377  0.7365  2 Ag 2.64

***

Record 4
First-principles (PBE-GGA) data for an optimized crystal structure of Ba2AcAg2Se4, as listed in Alexandria.

- M_tot (μB per atom) = 0.000
- DOS at the Fermi energy (states/eV/f.u.) = 2.4
- VASP energy (hartree per atom) = -0.1619

Cell: 16.4916 4.3302 8.2305 Å, 90.00 113.41 90.00°
Closest atoms and distances in Å follow each position.
Space group C2/m (No. 12)
One atom of each set of equivalent atoms:
Ba  0.1368  0.0000  0.0839  7 Se 3.31-3.63, 1 Ag 3.43
Ac  0.0000  0.0000  0.5000  6 Se 3.09-3.15
Ag  0.1904  0.5000  0.5093  3 Se 2.77-2.86, 2 Ag 2.97
Se  0.0224  0.5000  0.2422  1 Ag 2.77
Se  0.1991  0.0000  0.7421  2 Ag 2.86, 1 Ac 3.09

***

Record 5
First-principles (PBE-GGA) data for an optimized crystal structure of BaAcAgSe3, as listed in Alexandria.

- M_tot (μB per atom) = 0.000
- VASP energy (hartree per atom) = -0.1766

Cell: 9.2692 4.4462 9.6716 Å, 90.00 102.19 90.00°
Closest atoms and distances in Å follow each position.
Space group P2_1/m (No. 11)
One atom of each set of equivalent atoms:
Ba  0.1803  0.2500  0.2313  7 Se 3.38-3.45, 1 Ag 3.69
Ac  0.3299  0.7500  0.8260  6 Se 3.09-3.16
Ag  0.0842  0.2500  0.5822  4 Se 2.71-2.80, 2 Ag 2.98
Se  0.1051  0.2500  0.8664  1 Ag 2.71
Se  0.2241  0.7500  0.5008  3 Ag 2.77-2.80, 1 Ac 3.09
Se  0.4298  0.7500  0.1592  3 Ac 3.13-3.16, 2 Ba 3.38

***

Record 6
First-principles (PBE-GGA) data for an optimized crystal structure of BaAc2Ag2Sn2, as listed in Alexandria.

- M_tot (μB per atom) = 0.000
- DOS at the Fermi energy (states/eV/f.u.) = 3.5
- formation enthalpy at 0 K (eV per atom) = -0.423
- VASP energy (hartree per atom) = -0.1407

Cell: 5.0367 5.0367 31.8876 Å, 90.00 90.00 120.00°
Closest atoms and distances in Å follow each position.
Space group R-3m (No. 166, hexagonal axes)
One atom of each set of equivalent atoms:
Ba  0.0000  0.0000  0.0000  6 Ag 3.77, 6 Sn 3.80, 2 Ac 4.11
Ac  0.0000  0.0000  0.1290  3 Sn 3.35, 3 Ag 3.38
Ag  0.0000  0.0000  0.4086  3 Sn 2.91
Sn  0.0000  0.0000  0.2565  3 Ag 2.91

***

Record 7
First-principles (PBE-GGA) data for an optimized crystal structure of Ba2AcAgTe4, as listed in Alexandria.

- M_tot (μB per atom) = 0.000
- VASP energy (hartree per atom) = -0.1552

Cell: 8.3139 4.8332 8.3803 Å, 90.00 110.42 90.00°
Closest atoms and distances in Å follow each position.
Space group P2/m (No. 10)
One atom of each set of equivalent atoms:
Ba  0.0000  0.0000  0.0000  6 Te 3.48-3.56
Ba  0.5000  0.5000  0.0000  6 Te 3.46-3.53
Ac  0.0000  0.5000  0.5000  6 Te 3.33-3.34
Ag  0.5000  0.0000  0.5000  6 Te 3.23-3.37
Te  0.2437  0.0000  0.7359  2 Ac 3.33, 1 Ag 3.37, 3 Ba 3.46-3.48
Te  0.2677  0.5000  0.2811  2 Ag 3.23, 1 Ac 3.34, 3 Ba 3.53-3.56

***

Record 8
First-principles (PBE-GGA) data for an optimized crystal structure of BaAc2Tl2Ag2, as listed in Alexandria.

- M_tot (μB per atom) = 0.000
- DOS at the Fermi energy (states/eV/f.u.) = 5.2
- formation enthalpy at 0 K (eV per atom) = -0.224
- VASP energy (hartree per atom) = -0.1162

Cell: 5.1525 5.1525 31.3306 Å, 90.00 90.00 120.00°
Closest atoms and distances in Å follow each position.
Space group R-3m (No. 166, hexagonal axes)
One atom of each set of equivalent atoms:
Ba  0.0000  0.0000  0.0000  6 Ag 3.75, 6 Tl 3.82, 2 Ac 3.93
Ac  0.0000  0.0000  0.1254  3 Tl 3.34, 3 Ag 3.40
Tl  0.0000  0.0000  0.2568  3 Ag 2.98
Ag  0.0000  0.0000  0.4064  3 Tl 2.98

***

Record 9
First-principles (PBE-GGA) data for an optimized crystal structure of Ba2Ac3Tl4Ag2, as listed in Alexandria.

- M_tot (μB per atom) = 0.000
- DOS at the Fermi energy (states/eV/f.u.) = 11.9
- formation enthalpy at 0 K (eV per atom) = -0.219
- VASP energy (hartree per atom) = -0.1128

Cell: 5.1417 5.1417 18.5111 Å, 90.00 90.00 120.00°
Closest atoms and distances in Å follow each position.
Space group P-3m1 (No. 164)
One atom of each set of equivalent atoms:
Ba  0.3333  0.6667  0.0978  3 Tl 3.51
Ac  0.0000  0.0000  0.2940  6 Tl 3.45-3.50, 3 Ag 3.47, 1 Ac 3.81
Ac  0.0000  0.0000  0.5000  6 Tl 3.55, 6 Ag 3.59, 2 Ac 3.81
Tl  0.3333  0.6667  0.3944  3 Ag 2.97
Tl  0.3333  0.6667  0.8010  3 Ac 3.45, 3 Ba 3.51, 1 Ag 3.55
Ag  0.3333  0.6667  0.6095  3 Tl 2.97

***

Record 10
First-principles (PBE-GGA) data for an optimized crystal structure of AcBeAg3, as listed in Alexandria.

- M_tot (μB per atom) = 0.000
- DOS at the Fermi energy (states/eV/f.u.) = 3.3
- formation enthalpy at 0 K (eV per atom) = -0.046
- VASP energy (hartree per atom) = -0.1221

Cell: 4.7707 4.7707 4.7707 Å, 90.00 90.00 90.00°
Closest atoms and distances in Å follow each position.
Space group Pm-3m (No. 221)
One atom of each set of equivalent atoms:
Ac  0.0000  0.0000  0.0000  12 Ag 3.37
Be  0.5000  0.5000  0.5000  6 Ag 2.39
Ag  0.0000  0.5000  0.5000  2 Be 2.39

***

Record 11
First-principles (PBE-GGA) data for an optimized crystal structure of AcBeAg, as listed in Alexandria.

- M_tot (μB per atom) = 0.000
- DOS at the Fermi energy (states/eV/f.u.) = 2.0
- formation enthalpy at 0 K (eV per atom) = 0.020
- VASP energy (hartree per atom) = -0.1302

Cell: 6.3505 6.0661 8.0090 Å, 90.00 113.62 90.00°
Closest atoms and distances in Å follow each position.
Space group P2_1/c (No. 14)
One atom of each set of equivalent atoms:
Ac  0.1880  0.1399  0.3663  6 Be 3.24-3.59, 6 Ag 3.26-3.61
Be  0.2528  0.6415  0.5464  3 Ag 2.42-2.55
Ag  0.3984  0.6071  0.3013  3 Be 2.42-2.55

***

Record 12
First-principles (PBE-GGA) data for an optimized crystal structure of Ac2BeAg, as listed in Alexandria.

- M_tot (μB per atom) = 0.000
- DOS at the Fermi energy (states/eV/f.u.) = 3.5
- formation enthalpy at 0 K (eV per atom) = 0.070
- VASP energy (hartree per atom) = -0.1333
- excess energy over the best structure of this formula in the dataset (meV/atom) = 29.5

Cell: 7.7690 7.7690 7.7690 Å, 90.00 90.00 90.00°
Closest atoms and distances in Å follow each position.
Space group Fm-3m (No. 225)
One atom of each set of equivalent atoms:
Ac  0.2500  0.2500  0.2500  4 Be 3.36, 4 Ag 3.36
Be  0.0000  0.0000  0.0000  8 Ac 3.36
Ag  0.0000  0.0000  0.5000  8 Ac 3.36

***

Record 13
First-principles (PBE-GGA) data for an optimized crystal structure of Ac2BeAg, as listed in Alexandria.

- M_tot (μB per atom) = 0.000
- DOS at the Fermi energy (states/eV/f.u.) = 3.0
- formation enthalpy at 0 K (eV per atom) = 0.041
- VASP energy (hartree per atom) = -0.1344
- excess energy over the best structure of this formula in the dataset (meV/atom) = 0.0

Cell: 3.8416 3.8416 7.8126 Å, 90.00 90.00 90.00°
Closest atoms and distances in Å follow each position.
Space group P4/mmm (No. 123)
One atom of each set of equivalent atoms:
Ac  0.0000  0.0000  0.2313  4 Be 3.26, 4 Ag 3.43, 1 Ac 3.61
Be  0.5000  0.5000  0.0000  8 Ac 3.26
Ag  0.5000  0.5000  0.5000  8 Ac 3.43, 4 Ag 3.84

***

Record 14
First-principles (PBE-GGA) data for an optimized crystal structure of AcBeAgF6, as listed in Alexandria.

- M_tot (μB per atom) = 0.014
- DOS at the Fermi energy (states/eV/f.u.) = 0.0
- VASP energy (hartree per atom) = -0.1988

Cell: 5.5598 5.5598 4.9793 Å, 90.00 90.00 120.00°
Closest atoms and distances in Å follow each position.
Space group P312 (No. 149)
One atom of each set of equivalent atoms:
Ac  0.0000  0.0000  0.0000  6 F 2.46
Be  0.6667  0.3333  0.5000  6 F 1.81
Ag  0.3333  0.6667  0.5000  6 F 2.41
F  0.3929  0.0815  0.7128  1 Be 1.81

***

Record 15
First-principles (PBE-GGA) data for an optimized crystal structure of Ac3Be2AgO8, as listed in Alexandria.

- M_tot (μB per atom) = 0.145
- DOS at the Fermi energy (states/eV/f.u.) = 2.0
- VASP energy (hartree per atom) = -0.2539

Cell: 5.5317 5.5317 7.0686 Å, 90.00 90.00 120.00°
Closest atoms and distances in Å follow each position.
Space group P-3m1 (No. 164)
One atom of each set of equivalent atoms:
Ac  0.0000  0.0000  0.0000  6 O 2.67
Ac  0.3333  0.6667  0.6662  1 O 2.27
Be  0.3333  0.6667  0.2102  4 O 1.57-1.66
Ag  0.0000  0.0000  0.5000  6 O 2.19
O  0.1728  0.3457  0.2971  1 Be 1.66
O  0.3333  0.6667  0.9874  1 Be 1.57

***

Record 16
First-principles (PBE-GGA) data for an optimized crystal structure of Ac2Be2AgO6, as listed in Alexandria.

- M_tot (μB per atom) = 0.000
- DOS at the Fermi energy (states/eV/f.u.) = 1.6
- VASP energy (hartree per atom) = -0.2513

Cell: 10.4172 5.2665 6.1798 Å, 90.00 116.05 90.00°
Closest atoms and distances in Å follow each position.
Space group C2/m (No. 12)
One atom of each set of equivalent atoms:
Ac  0.2080  0.0000  0.2085  5 O 2.47-2.62
Be  0.0167  0.5000  0.2427  3 O 1.52-1.55
Ag  0.0000  0.0000  0.5000  4 O 2.19
O  0.0778  0.2588  0.8094  1 Be 1.55
O  0.1791  0.5000  0.3470  1 Be 1.52

***

Record 17
First-principles (PBE-GGA) data for an optimized crystal structure of Ac3Be2AgPd9, as listed in Alexandria.

- M_tot (μB per atom) = 0.000
- DOS at the Fermi energy (states/eV/f.u.) = 5.8
- formation enthalpy at 0 K (eV per atom) = -0.571
- VASP energy (hartree per atom) = -0.1909

Cell: 6.9055 6.9055 7.3309 Å, 90.00 90.00 120.00°
Closest atoms and distances in Å follow each position.
Space group P-3m1 (No. 164)
One atom of each set of equivalent atoms:
Ac  0.0000  0.0000  0.0000  12 Pd 3.23-3.45
Ac  0.3333  0.6667  0.6631  6 Pd 3.09-3.17, 1 Be 3.40
Be  0.3333  0.6667  0.1274  6 Pd 2.20
Ag  0.0000  0.0000  0.5000  6 Pd 2.64
Pd  0.0000  0.5000  0.0000  2 Be 2.20
Pd  0.1894  0.3787  0.3136  1 Be 2.20

***

Record 18
First-principles (PBE-GGA) data for an optimized crystal structure of Ac2BeAgPd6, as listed in Alexandria.

- M_tot (μB per atom) = 0.000
- DOS at the Fermi energy (states/eV/f.u.) = 3.4
- formation enthalpy at 0 K (eV per atom) = -0.590
- VASP energy (hartree per atom) = -0.1905

Cell: 5.6647 6.3023 7.0997 Å, 74.72 66.59 63.51°
Closest atoms and distances in Å follow each position.
Space group P-1 (No. 2)
One atom of each set of equivalent atoms:
Ac  0.2336  0.2361  0.2956  6 Pd 3.02-3.38
Be  0.0000  0.0000  0.0000  6 Pd 2.25-2.33
Ag  0.5000  0.5000  0.5000  6 Pd 2.72
Pd  0.2447  0.6179  0.8935  1 Be 2.33
Pd  0.2467  0.2177  0.7844  1 Be 2.25
Pd  0.2509  0.7821  0.2149  1 Be 2.26

***

Record 19
First-principles (PBE-GGA) data for an optimized crystal structure of Ac2BeAgPt6, as listed in Alexandria.

- M_tot (μB per atom) = 0.000
- DOS at the Fermi energy (states/eV/f.u.) = 4.2
- formation enthalpy at 0 K (eV per atom) = -0.724
- VASP energy (hartree per atom) = -0.2142

Cell: 11.8654 5.5105 8.4278 Å, 90.00 130.27 90.00°
Closest atoms and distances in Å follow each position.
Space group C2/m (No. 12)
One atom of each set of equivalent atoms:
Ac  0.2374  0.0000  0.1987  7 Pt 3.08-3.39
Be  0.0000  0.0000  0.5000  6 Pt 2.32-2.51
Ag  0.0000  0.5000  0.0000  6 Pt 2.72-2.74
Pt  0.0031  0.2497  0.2809  1 Be 2.32
Pt  0.2473  0.0000  0.5910  1 Be 2.51, 4 Pt 2.71-2.78, 1 Ag 2.74

***

Record 20
First-principles (PBE-GGA) data for an optimized crystal structure of Ac6Ag5Bi, as listed in Alexandria.

- M_tot (μB per atom) = 0.002
- DOS at the Fermi energy (states/eV/f.u.) = 12.2
- formation enthalpy at 0 K (eV per atom) = -0.330
- VASP energy (hartree per atom) = -0.1432

Cell: 5.6449 8.0367 17.0118 Å, 90.00 90.00 90.00°
Closest atoms and distances in Å follow each position.
Space group Immm (No. 71)
One atom of each set of equivalent atoms:
Ac  0.0000  0.2429  0.0000  6 Ag 3.43-3.54, 2 Bi 3.50
Ac  0.0000  0.2534  0.3299  7 Ag 3.38-3.51, 1 Bi 3.54
Ag  0.0000  0.0000  0.1680  8 Ac 3.43-3.46
Ag  0.0000  0.5000  0.1688  8 Ac 3.38-3.54
Ag  0.0000  0.5000  0.5000  8 Ac 3.43-3.51
Bi  0.0000  0.0000  0.5000  8 Ac 3.50-3.54

***

Record 21
First-principles (PBE-GGA) data for an optimized crystal structure of AcAg2Bi2, as listed in Alexandria.

- M_tot (μB per atom) = 0.000
- DOS at the Fermi energy (states/eV/f.u.) = 1.9
- formation enthalpy at 0 K (eV per atom) = -0.414
- VASP energy (hartree per atom) = -0.1444

Cell: 4.7776 24.8614 4.7497 Å, 90.00 90.00 90.00°
Closest atoms and distances in Å follow each position.
Space group Cmcm (No. 63)
One atom of each set of equivalent atoms:
Ac  0.0000  0.1418  0.2500  8 Bi 3.48-3.60, 4 Ag 3.60-3.62
Ag  0.0000  0.0330  0.7500  4 Ag 2.89, 2 Bi 3.02
Ag  0.0000  0.4675  0.7500  4 Ag 2.87-2.89, 2 Bi 3.01
Bi  0.0000  0.2499  0.7500  4 Bi 3.37, 4 Ac 3.59-3.60
Bi  0.0000  0.3929  0.2500  4 Ag 3.01-3.02

***

Record 22
First-principles (PBE-GGA) data for an optimized crystal structure of AcAgBi, as listed in Alexandria.

- M_tot (μB per atom) = 0.000
- DOS at the Fermi energy (states/eV/f.u.) = 2.1
- formation enthalpy at 0 K (eV per atom) = -0.536
- VASP energy (hartree per atom) = -0.1525
- excess energy over the best structure of this formula in the dataset (meV/atom) = 41.5

Cell: 4.8738 4.8738 4.5749 Å, 90.00 90.00 120.00°
Closest atoms and distances in Å follow each position.
Space group P3m1 (No. 156)
One atom of each set of equivalent atoms:
Ac  0.0000  0.0000  0.0000  6 Ag 3.43-3.84, 6 Bi 3.56-3.69
Ag  0.3333  0.6667  0.5709  3 Bi 2.85
Bi  0.6667  0.3333  0.4775  3 Ag 2.85

***

Record 23
First-principles (PBE-GGA) data for an optimized crystal structure of Ac5Ag2Bi, as listed in Alexandria.

- M_tot (μB per atom) = 0.000
- DOS at the Fermi energy (states/eV/f.u.) = 9.9
- formation enthalpy at 0 K (eV per atom) = -0.344
- VASP energy (hartree per atom) = -0.1510

Cell: 8.9775 8.9775 14.4240 Å, 90.00 90.00 90.00°
Closest atoms and distances in Å follow each position.
Space group I4/mcm (No. 140)
One atom of each set of equivalent atoms:
Ac  0.0000  0.0000  0.0000  4 Ag 3.50, 2 Bi 3.61
Ac  0.1547  0.3453  0.1444  3 Ag 3.33-3.39, 2 Bi 3.72
Ag  0.1347  0.3653  0.5000  8 Ac 3.33-3.50, 1 Ag 3.42
Bi  0.0000  0.0000  0.2500  10 Ac 3.61-3.72